Entry 1:
Density functional theory data (PBE) for a relaxed structure of LiHPt.

abc: 2.7831 2.7831 4.8168
angles: 106.79 106.79 90.00
Closest atoms and distances in Å follow each position.
Fractional coordinates of all 3 atoms:
H (0.5346, 0.5346, 0.0692)  4 Pt 1.98, 1 Li 2.04
Pt (0.0128, 0.0128, 0.0257)  4 H 1.98
Li (0.3025, 0.3025, 0.6051)  1 H 2.04

Computed properties:
VASP energy = -12.32 eV for the cell shown
Space group = I4mm
Crystal system = tetragonal

Entry 2:
Density functional theory data (PBE) for a relaxed structure of BaMg2Mo.

abc: 6.6721 6.6721 6.6721
angles: 152.27 131.53 56.76
Closest atoms and distances in Å follow each position.
Fractional coordinates of all 4 atoms:
Ba (0.2500, 0.7500, 0.5000)  4 Mo 3.17, 2 Ba 3.20
Mg (0.9569, 0.9569, 0.0000)  2 Mo 2.91, 2 Mg 3.20
Mg (0.5431, 0.5431, 0.0000)  2 Mo 2.91, 2 Mg 3.20
Mo (0.7500, 0.2500, 0.5000)  4 Mg 2.91, 4 Ba 3.17, 2 Mo 3.20

Computed properties:
Energy above the most stable polymorph in this dataset = 150.9 meV/atom
Space group = Immm
Energy of formation from the pure elements = 674 meV/atom
Crystal system = orthorhombic

Entry 3:
Density functional theory data (PBE) for a relaxed structure of NiH2Ru.

abc: 3.9968 3.9968 4.8699
angles: 65.77 65.77 90.00
Closest atoms and distances in Å follow each position.
Fractional coordinates of all 8 atoms:
Ru (0.0000, 0.0000, 0.0000)  4 H 1.81
Ru (0.7500, 0.2500, 0.5000)  4 H 1.81
H (0.5907, 0.1250, 0.2500)  2 Ni 1.65, 2 Ru 1.81
H (0.1593, 0.6250, 0.2500)  2 Ni 1.65, 2 Ru 1.81
H (0.3750, 0.4093, 0.7500)  2 Ni 1.65, 2 Ru 1.81
H (0.8750, 0.8407, 0.7500)  2 Ni 1.65, 2 Ru 1.81
Ni (0.5000, 0.5000, 0.0000)  4 H 1.65
Ni (0.2500, 0.7500, 0.5000)  4 H 1.65

Computed properties:
Energy above the most stable polymorph in this dataset = 0.0 meV/atom
Space group = I-42d
Crystal system = tetragonal

Entry 4:
Density functional theory data (PBE) for a relaxed structure of NiIrPt.

abc: 4.2566 4.2566 2.6909
angles: 90.00 90.00 120.00
Closest atoms and distances in Å follow each position.
Fractional coordinates of all 3 atoms:
Ir (0.0000, 0.0000, 0.0708)  3 Ni 2.57, 2 Ir 2.69, 6 Pt 2.79-2.81
Ni (0.6667, 0.3333, 0.3505)  3 Pt 2.53, 3 Ir 2.57, 2 Ni 2.69
Pt (0.3333, 0.6667, 0.5787)  3 Ni 2.53, 2 Pt 2.69, 6 Ir 2.79-2.81

Computed properties:
Energy above the most stable polymorph in this dataset = 222.8 meV/atom
Space group = P3m1
Energy of formation from the pure elements = 187 meV/atom
Crystal system = trigonal

Entry 5:
Density functional theory data (PBE) for a relaxed structure of NaSrV.

abc: 7.9823 3.9384 11.6299
angles: 90.00 90.00 90.00
Closest atoms and distances in Å follow each position.
Fractional coordinates of all 12 atoms:
Sr (0.8110, 0.2500, 0.2661)  3 Na 3.35-3.45, 1 V 3.63
Sr (0.6890, 0.7500, 0.7661)  3 Na 3.35-3.45, 1 V 3.63
Sr (0.1890, 0.7500, 0.7339)  3 Na 3.35-3.45, 1 V 3.63
Sr (0.3110, 0.2500, 0.2339)  3 Na 3.35-3.45, 1 V 3.63
V (0.4653, 0.2500, 0.5278)  2 V 2.15
V (0.0347, 0.7500, 0.0278)  2 V 2.15
V (0.5347, 0.7500, 0.4722)  2 V 2.15
V (0.9653, 0.2500, 0.9722)  2 V 2.15
Na (0.8583, 0.2500, 0.5525)  3 V 3.15-3.38, 2 Na 3.24, 3 Sr 3.35-3.45
Na (0.6417, 0.7500, 0.0525)  3 V 3.15-3.38, 2 Na 3.24, 3 Sr 3.35-3.45
Na (0.1417, 0.7500, 0.4475)  3 V 3.15-3.38, 2 Na 3.24, 3 Sr 3.35-3.45
Na (0.3583, 0.2500, 0.9475)  3 V 3.15-3.38, 2 Na 3.24, 3 Sr 3.35-3.45

Computed properties:
Energy above the most stable polymorph in this dataset = 264.1 meV/atom
Space group = Pnma
Energy of formation from the pure elements = 657 meV/atom
Crystal system = orthorhombic

Entry 6:
Density functional theory data (PBE) for a relaxed structure of LiHo5S8.

abc: 7.9730 7.9730 7.9730
angles: 60.00 60.00 60.00
Closest atoms and distances in Å follow each position.
Fractional coordinates of all 14 atoms:
Li (0.2500, 0.2500, 0.2500)  4 S 2.57
Ho (0.0000, 0.0000, 0.0000)  4 S 2.61
Ho (0.6204, 0.6204, 0.1389)  6 S 2.69-2.78
Ho (0.6204, 0.6204, 0.6204)  6 S 2.69-2.78
Ho (0.1389, 0.6204, 0.6204)  6 S 2.69-2.78
Ho (0.6204, 0.1389, 0.6204)  6 S 2.69-2.78
S (0.3816, 0.8552, 0.3816)  1 Li 2.57, 3 Ho 2.69
S (0.8552, 0.3816, 0.3816)  1 Li 2.57, 3 Ho 2.69
S (0.3816, 0.3816, 0.3816)  1 Li 2.57, 3 Ho 2.69
S (0.3816, 0.3816, 0.8552)  1 Li 2.57, 3 Ho 2.69
S (0.8666, 0.8666, 0.4003)  4 Ho 2.61-2.78
S (0.4003, 0.8666, 0.8666)  4 Ho 2.61-2.78
S (0.8666, 0.8666, 0.8666)  4 Ho 2.61-2.78
S (0.8666, 0.4003, 0.8666)  4 Ho 2.61-2.78

Computed properties:
Space group = F-43m
Formation energy (no corrections) = -1.974 eV/atom
Crystal system = cubic

Entry 7:
Density functional theory data (PBE) for a relaxed structure of MnReAu3.

abc: 5.0267 5.0267 5.0267
angles: 90.00 90.00 90.00
Closest atoms and distances in Å follow each position.
Fractional coordinates of all 5 atoms:
Re (0.0000, 0.0000, 0.0000)  6 Au 2.51
Mn (0.5000, 0.5000, 0.5000)  12 Au 3.55
Au (0.0000, 0.5000, 0.0000)  2 Re 2.51
Au (0.0000, 0.0000, 0.5000)  2 Re 2.51
Au (0.5000, 0.0000, 0.0000)  2 Re 2.51

Computed properties:
Energy above the most stable polymorph in this dataset = 0.0 meV/atom
Space group = Pm-3m
Energy of formation from the pure elements = 1382 meV/atom
Crystal system = cubic

Entry 8:
Density functional theory data (PBE) for a relaxed structure of LiLaTl2.

abc: 3.4566 4.7551 6.8818
angles: 90.00 90.00 90.00
Closest atoms and distances in Å follow each position.
Fractional coordinates of all 4 atoms:
La (0.0000, 0.0000, 0.4810)  6 Tl 3.36-3.52, 2 La 3.46, 4 Li 3.69
Li (0.5000, 0.5000, 0.8046)  5 Tl 3.03-3.15
Tl (0.0000, 0.0000, 0.9689)  4 Li 3.15, 2 La 3.36-3.52, 6 Tl 3.46-3.50
Tl (0.5000, 0.5000, 0.2456)  1 Li 3.03, 4 La 3.36

Computed properties:
Space group = Pmm2
Energy of formation from the pure elements = -138 meV/atom
Crystal system = orthorhombic

Entry 9:
Density functional theory data (PBE) for a relaxed structure of CdBiPd4.

abc: 3.1391 8.2008 8.6806
angles: 90.00 100.42 90.00
Closest atoms and distances in Å follow each position.
Fractional coordinates of all 12 atoms:
Cd (0.2388, 0.7500, 0.4776)  8 Pd 2.67-2.87
Cd (0.7612, 0.2500, 0.5224)  8 Pd 2.67-2.87
Bi (0.4321, 0.7500, 0.8642)  9 Pd 2.83-2.88, 2 Bi 3.14
Bi (0.5679, 0.2500, 0.1358)  9 Pd 2.83-2.88, 2 Bi 3.14
Pd (0.1661, 0.4615, 0.3322)  3 Cd 2.67-2.85, 1 Pd 2.85, 2 Bi 2.88
Pd (0.8339, 0.5385, 0.6678)  3 Cd 2.67-2.85, 1 Pd 2.85, 2 Bi 2.88
Pd (0.1661, 0.0385, 0.3322)  3 Cd 2.67-2.85, 1 Pd 2.85, 2 Bi 2.88
Pd (0.8339, 0.9615, 0.6678)  3 Cd 2.67-2.85, 1 Pd 2.85, 2 Bi 2.88
Pd (0.5981, 0.7500, 0.1962)  1 Bi 2.84, 2 Cd 2.87, 10 Pd 3.07-3.14
Pd (0.4019, 0.2500, 0.8038)  1 Bi 2.84, 2 Cd 2.87, 10 Pd 3.07-3.14
Pd (0.0000, 0.5000, 0.0000)  4 Bi 2.83, 8 Pd 2.85-3.14
Pd (0.0000, 0.0000, 0.0000)  4 Bi 2.83, 8 Pd 2.85-3.14

Computed properties:
Energy above the most stable polymorph in this dataset = 91.3 meV/atom
Space group = Cmcm
Energy of formation from the pure elements = -151 meV/atom
Crystal system = orthorhombic

Entry 10:
Density functional theory data (PBE) for a relaxed structure of CaYGaNi.

abc: 4.9731 4.9731 4.9731
angles: 60.00 60.00 60.00
Closest atoms and distances in Å follow each position.
Fractional coordinates of all 4 atoms:
Y (0.7500, 0.7500, 0.7500)  4 Ga 3.05, 4 Ni 3.05
Ni (0.0000, 0.0000, 0.0000)  4 Ca 3.05, 4 Y 3.05
Ca (0.2500, 0.2500, 0.2500)  4 Ni 3.05, 4 Ga 3.05
Ga (0.5000, 0.5000, 0.5000)  4 Y 3.05, 4 Ca 3.05

Computed properties:
Space group = F-43m
Energy of formation from the pure elements = -315 meV/atom
Crystal system = cubic

Entry 11:
Density functional theory data (PBE) for a relaxed structure of La4Tb7Nd.

abc: 3.6381 3.6381 35.4466
angles: 90.00 90.00 120.00
Closest atoms and distances in Å follow each position.
Fractional coordinates of all 12 atoms:
La (0.3333, 0.6667, 0.9163)  6 Tb 3.64-3.65, 6 La 3.64
La (0.6667, 0.3333, 0.0837)  6 Tb 3.64-3.65, 6 La 3.64
La (0.3333, 0.6667, 0.6668)  6 La 3.64, 6 Tb 3.65-3.66
La (0.6667, 0.3333, 0.3332)  6 La 3.64, 6 Tb 3.65-3.66
Tb (0.0000, 0.0000, 0.0000)  6 La 3.64, 6 Tb 3.64
Tb (0.3333, 0.6667, 0.4174)  3 Nd 3.60, 6 Tb 3.64, 3 La 3.65
Tb (0.6667, 0.3333, 0.5826)  3 Nd 3.60, 6 Tb 3.64, 3 La 3.65
Tb (0.3333, 0.6667, 0.1681)  9 Tb 3.55-3.64, 3 La 3.65
Tb (0.6667, 0.3333, 0.8319)  9 Tb 3.55-3.64, 3 La 3.65
Tb (0.0000, 0.0000, 0.7513)  9 Tb 3.55-3.64, 3 La 3.66
Tb (0.0000, 0.0000, 0.2487)  9 Tb 3.55-3.64, 3 La 3.66
Nd (0.0000, 0.0000, 0.5000)  6 Tb 3.60, 6 Nd 3.64

Computed properties:
Energy above the most stable polymorph in this dataset = 0.0 meV/atom
Space group = P-3m1
Energy of formation from the pure elements = 15 meV/atom
Crystal system = trigonal

Entry 12:
Density functional theory data (PBE) for a relaxed structure of Ta5Ti3H12.

abc: 9.6038 9.6038 9.6038
angles: 109.47 109.47 109.47
Closest atoms and distances in Å follow each position.
Fractional coordinates of all 80 atoms:
Ti (0.7500, 0.3750, 0.1250)  8 H 1.95-1.98
Ti (0.8750, 0.7500, 0.1250)  8 H 1.95-1.98
Ti (0.3750, 0.7500, 0.6250)  8 H 1.95-1.98
Ti (0.2500, 0.1250, 0.3750)  8 H 1.95-1.98
Ti (0.8750, 0.1250, 0.2500)  8 H 1.95-1.98
Ti (0.3750, 0.6250, 0.2500)  8 H 1.95-1.98
Ti (0.6250, 0.3750, 0.7500)  8 H 1.95-1.98
Ti (0.1250, 0.8750, 0.7500)  8 H 1.95-1.98
Ti (0.7500, 0.8750, 0.6250)  8 H 1.95-1.98
Ti (0.6250, 0.2500, 0.3750)  8 H 1.95-1.98
Ti (0.1250, 0.2500, 0.8750)  8 H 1.95-1.98
Ti (0.2500, 0.6250, 0.8750)  8 H 1.95-1.98
Ta (0.1250, 0.3750, 0.2500)  4 H 1.91
Ta (0.0000, 0.5000, 0.0000)  6 H 1.90
Ta (0.0000, 0.0000, 0.0000)  6 H 1.90
Ta (0.3750, 0.2500, 0.1250)  4 H 1.91
Ta (0.5000, 0.0000, 0.5000)  6 H 1.90
Ta (0.5000, 0.5000, 0.0000)  6 H 1.90
Ta (0.1250, 0.7500, 0.3750)  4 H 1.91
Ta (0.7500, 0.1250, 0.8750)  4 H 1.91
Ta (0.7500, 0.6250, 0.3750)  4 H 1.91
Ta (0.3750, 0.1250, 0.7500)  4 H 1.91
Ta (0.6250, 0.8750, 0.2500)  4 H 1.91
Ta (0.5000, 0.5000, 0.5000)  6 H 1.90
Ta (0.5000, 0.0000, 0.0000)  6 H 1.90
Ta (0.0000, 0.0000, 0.5000)  6 H 1.90
Ta (0.2500, 0.3750, 0.6250)  4 H 1.91
Ta (0.2500, 0.8750, 0.1250)  4 H 1.91
Ta (0.0000, 0.5000, 0.5000)  6 H 1.90
Ta (0.8750, 0.2500, 0.6250)  4 H 1.91
Ta (0.6250, 0.7500, 0.8750)  4 H 1.91
Ta (0.8750, 0.6250, 0.7500)  4 H 1.91
H (0.7283, 0.1518, 0.0711)  2 Ta 1.90-1.91, 1 H 1.91, 2 Ti 1.95-1.98
H (0.3428, 0.5711, 0.4193)  2 Ta 1.90-1.91, 1 H 1.91, 2 Ti 1.95-1.98
H (0.9289, 0.3482, 0.2717)  2 Ta 1.90-1.91, 1 H 1.91, 2 Ti 1.95-1.98
H (0.5711, 0.2283, 0.1518)  2 Ta 1.90-1.91, 1 H 1.91, 2 Ti 1.95-1.98
H (0.5765, 0.7283, 0.6572)  2 Ta 1.90-1.91, 1 H 1.91, 2 Ti 1.95-1.98
H (0.9289, 0.5807, 0.1572)  2 Ta 1.90-1.91, 1 H 1.91, 2 Ti 1.95-1.98
H (0.3428, 0.7717, 0.4235)  2 Ta 1.90-1.91, 1 H 1.91, 2 Ti 1.95-1.98
H (0.0807, 0.9235, 0.1518)  2 Ta 1.90-1.91, 1 H 1.91, 2 Ti 1.95-1.98
H (0.5807, 0.9289, 0.6572)  2 Ta 1.90-1.91, 1 H 1.91, 2 Ti 1.95-1.98
H (0.7283, 0.5765, 0.1572)  2 Ta 1.90-1.91, 1 H 1.91, 2 Ti 1.95-1.98
H (0.7717, 0.4289, 0.3482)  2 Ta 1.90-1.91, 1 H 1.91, 2 Ti 1.95-1.98
H (0.8428, 0.9193, 0.0711)  2 Ta 1.90-1.91, 1 H 1.91, 2 Ti 1.95-1.98
H (0.1518, 0.7283, 0.5711)  2 Ta 1.90-1.91, 1 H 1.91, 2 Ti 1.95-1.98
H (0.3482, 0.4193, 0.0765)  2 Ta 1.90-1.91, 1 H 1.91, 2 Ti 1.95-1.98
H (0.0765, 0.9193, 0.3482)  2 Ta 1.90-1.91, 1 H 1.91, 2 Ti 1.95-1.98
H (0.4235, 0.1518, 0.5807)  2 Ta 1.90-1.91, 1 H 1.91, 2 Ti 1.95-1.98
H (0.0765, 0.1572, 0.2283)  2 Ta 1.90-1.91, 1 H 1.91, 2 Ti 1.95-1.98
H (0.4289, 0.6572, 0.0807)  2 Ta 1.90-1.91, 1 H 1.91, 2 Ti 1.95-1.98
H (0.8428, 0.9235, 0.2717)  2 Ta 1.90-1.91, 1 H 1.91, 2 Ti 1.95-1.98
H (0.1518, 0.4235, 0.0807)  2 Ta 1.90-1.91, 1 H 1.91, 2 Ti 1.95-1.98
H (0.3482, 0.9289, 0.7717)  2 Ta 1.90-1.91, 1 H 1.91, 2 Ti 1.95-1.98
H (0.5807, 0.6518, 0.4235)  2 Ta 1.90-1.91, 1 H 1.91, 2 Ti 1.95-1.98
H (0.9193, 0.8428, 0.5711)  2 Ta 1.90-1.91, 1 H 1.91, 2 Ti 1.95-1.98
H (0.7717, 0.3428, 0.9235)  2 Ta 1.90-1.91, 1 H 1.91, 2 Ti 1.95-1.98
H (0.4193, 0.3482, 0.5765)  2 Ta 1.90-1.91, 1 H 1.91, 2 Ti 1.95-1.98
H (0.0807, 0.1572, 0.4289)  2 Ta 1.90-1.91, 1 H 1.91, 2 Ti 1.95-1.98
H (0.2283, 0.6572, 0.0765)  2 Ta 1.90-1.91, 1 H 1.91, 2 Ti 1.95-1.98
H (0.1572, 0.0765, 0.7283)  2 Ta 1.90-1.91, 1 H 1.91, 2 Ti 1.95-1.98
H (0.6518, 0.0711, 0.2283)  2 Ta 1.90-1.91, 1 H 1.91, 2 Ti 1.95-1.98
H (0.8482, 0.5765, 0.9193)  2 Ta 1.90-1.91, 1 H 1.91, 2 Ti 1.95-1.98
H (0.5711, 0.3428, 0.9193)  2 Ta 1.90-1.91, 1 H 1.91, 2 Ti 1.95-1.98
H (0.5765, 0.8482, 0.4193)  2 Ta 1.90-1.91, 1 H 1.91, 2 Ti 1.95-1.98
H (0.9235, 0.8428, 0.7717)  2 Ta 1.90-1.91, 1 H 1.91, 2 Ti 1.95-1.98
H (0.9235, 0.0807, 0.6518)  2 Ta 1.90-1.91, 1 H 1.91, 2 Ti 1.95-1.98
H (0.8482, 0.2717, 0.4289)  2 Ta 1.90-1.91, 1 H 1.91, 2 Ti 1.95-1.98
H (0.1572, 0.0807, 0.9289)  2 Ta 1.90-1.91, 1 H 1.91, 2 Ti 1.95-1.98
H (0.6518, 0.5807, 0.9235)  2 Ta 1.90-1.91, 1 H 1.91, 2 Ti 1.95-1.98
H (0.4193, 0.0711, 0.3428)  2 Ta 1.90-1.91, 1 H 1.91, 2 Ti 1.95-1.98
H (0.2717, 0.4235, 0.8428)  2 Ta 1.90-1.91, 1 H 1.91, 2 Ti 1.95-1.98
H (0.2283, 0.5711, 0.6518)  2 Ta 1.90-1.91, 1 H 1.91, 2 Ti 1.95-1.98
H (0.9193, 0.0765, 0.8482)  2 Ta 1.90-1.91, 1 H 1.91, 2 Ti 1.95-1.98
H (0.6572, 0.2283, 0.5765)  2 Ta 1.90-1.91, 1 H 1.91, 2 Ti 1.95-1.98
H (0.4289, 0.7717, 0.8482)  2 Ta 1.90-1.91, 1 H 1.91, 2 Ti 1.95-1.98
H (0.0711, 0.4193, 0.8428)  2 Ta 1.90-1.91, 1 H 1.91, 2 Ti 1.95-1.98
H (0.4235, 0.2717, 0.3428)  2 Ta 1.90-1.91, 1 H 1.91, 2 Ti 1.95-1.98
H (0.0711, 0.6518, 0.7283)  2 Ta 1.90-1.91, 1 H 1.91, 2 Ti 1.95-1.98
H (0.6572, 0.4289, 0.5807)  2 Ta 1.90-1.91, 1 H 1.91, 2 Ti 1.95-1.98
H (0.2717, 0.8482, 0.9289)  2 Ta 1.90-1.91, 1 H 1.91, 2 Ti 1.95-1.98

Computed properties:
VASP energy = -514.90 eV for the cell shown
Space group = Ia-3d
Crystal system = cubic

Number 1: size of the total moment 0.000 μB per atom, calculated density 9.900 g cm⁻³. Number 2: size of the total moment 0.000 μB per atom, calculated density 4.553 g cm⁻³. Number 3: size of the total moment 0.000 μB per atom, calculated density 8.481 g cm⁻³. Number 4: size of the total moment 0.398 μB per atom, calculated density 17.540 g cm⁻³. Number 5: size of the total moment 0.000 μB per atom, calculated density 2.935 g cm⁻³. Number 6: size of the total moment 0.000 μB per atom, calculated density 5.042 g cm⁻³. Number 7: size of the total moment 0.738 μB per atom, calculated density 10.878 g cm⁻³. Number 8: size of the total moment 0.051 μB per atom, calculated density 8.142 g cm⁻³. Number 9: size of the total moment 0.000 μB per atom, calculated density 11.289 g cm⁻³. Number 10: size of the total moment 0.000 μB per atom, calculated density 4.915 g cm⁻³. Number 11: size of the total moment 0.000 μB per atom, calculated density 7.407 g cm⁻³. Number 12: size of the total moment 0.000 μB per atom, calculated density 10.330 g cm⁻³.